The following is a DFT calculation (GGA-PBE) of a relaxed MnV2Tc crystal.

Output
Total magnetization (μB/f.u.): 0.00
D(E_F) (states/eV/cell): 2.01
Crystal system: tetragonal
Calculated formation energy (eV/atom): -0.297

The structure in CIF format:
```
data_MnV2Tc
_chemical_formula_sum 'Mn1 V2 Tc1'
_cell_length_a 2.958
_cell_length_b 2.958
_cell_length_c 5.908
_cell_angle_alpha 90.00
_cell_angle_beta 90.00
_cell_angle_gamma 90.00
_space_group_name_H-M_alt 'P 4/m m m'
_space_group_IT_number 123
_space_group_name_Hall '-P 4 2'
loop_
_atom_site_label
_atom_site_fract_x
_atom_site_fract_y
_atom_site_fract_z
_atom_site_occupancy
Mn1 0.000 0.000 0.000 1
V1 0.500 0.500 0.241 1
Tc1 0.000 0.000 0.500 1
```


The following is a DFT calculation (GGA-PBE) of a relaxed Mn2V3Tc crystal.

Output
Total magnetization (μB/f.u.): 0.00
D(E_F) (states/eV/cell): 2.54
Crystal system: tetragonal
Calculated formation energy (eV/atom): -0.283

The structure in CIF format:
```
data_Mn2V3Tc
_chemical_formula_sum 'Mn2 V3 Tc1'
_cell_length_a 2.932
_cell_length_b 2.932
_cell_length_c 8.775
_cell_angle_alpha 90.00
_cell_angle_beta 90.00
_cell_angle_gamma 90.00
_space_group_name_H-M_alt 'P 4/m m m'
_space_group_IT_number 123
_space_group_name_Hall '-P 4 2'
loop_
_atom_site_label
_atom_site_fract_x
_atom_site_fract_y
_atom_site_fract_z
_atom_site_occupancy
Mn1 0.000 0.000 0.162 1
V1 0.500 0.500 0.000 1
V2 0.500 0.500 0.324 1
Tc1 0.000 0.000 0.500 1
```


The following is a DFT calculation (GGA-PBE) of a relaxed MnVTc2 crystal.

Output
Total magnetization (μB/f.u.): 2.63
D(E_F) (states/eV/cell): 16.27
Crystal system: tetragonal
Calculated formation energy (eV/atom): 0.559

The structure in CIF format:
```
data_MnVTc2
_chemical_formula_sum 'Mn4 V4 Tc8'
_cell_length_a 6.719
_cell_length_b 6.719
_cell_length_c 5.241
_cell_angle_alpha 90.00
_cell_angle_beta 90.00
_cell_angle_gamma 90.00
_space_group_name_H-M_alt 'I -4 2 d'
_space_group_IT_number 122
_space_group_name_Hall 'I -4 2bw'
loop_
_atom_site_label
_atom_site_fract_x
_atom_site_fract_y
_atom_site_fract_z
_atom_site_occupancy
Mn1 0.000 0.000 0.000 1
V1 0.000 0.000 0.500 1
Tc1 0.244 0.750 0.625 1
```


The following is a DFT calculation (GGA-PBE) of a relaxed MnV5Tc6 crystal.

Output
Total magnetization (μB/f.u.): 2.26
D(E_F) (states/eV/cell): 15.12
Crystal system: orthorhombic
Calculated formation energy (eV/atom): -0.284

The structure in CIF format:
```
data_MnV5Tc6
_chemical_formula_sum 'Mn2 V10 Tc12'
_cell_length_a 4.273
_cell_length_b 12.808
_cell_length_c 6.047
_cell_angle_alpha 90.00
_cell_angle_beta 90.00
_cell_angle_gamma 90.00
_space_group_name_H-M_alt 'C m m m'
_space_group_IT_number 65
_space_group_name_Hall '-C 2 2'
loop_
_atom_site_label
_atom_site_fract_x
_atom_site_fract_y
_atom_site_fract_z
_atom_site_occupancy
Mn1 0.000 0.000 0.000 1
V1 0.000 0.000 0.500 1
V2 0.000 0.334 0.500 1
V3 0.000 0.335 0.000 1
Tc1 0.000 0.167 0.251 1
Tc2 0.000 0.500 0.252 1
```


The following is a DFT calculation (GGA-PBE) of a relaxed MnV4Tc2 crystal.

Output
Total magnetization (μB/f.u.): 0.84
D(E_F) (states/eV/cell): 21.55
Crystal system: tetragonal
Calculated formation energy (eV/atom): 0.763

The structure in CIF format:
```
data_MnV4Tc2
_chemical_formula_sum 'Mn2 V8 Tc4'
_cell_length_a 4.237
_cell_length_b 4.237
_cell_length_c 12.229
_cell_angle_alpha 90.00
_cell_angle_beta 90.00
_cell_angle_gamma 90.00
_space_group_name_H-M_alt 'I 4/m m m'
_space_group_IT_number 139
_space_group_name_Hall '-I 4 2'
loop_
_atom_site_label
_atom_site_fract_x
_atom_site_fract_y
_atom_site_fract_z
_atom_site_occupancy
Mn1 0.000 0.000 0.000 1
V1 0.000 0.000 0.187 1
V2 0.000 0.500 0.000 1
Tc1 0.000 0.000 0.372 1
```


The following is a DFT calculation (GGA-PBE) of a relaxed MnV6Tc crystal.

Output
Total magnetization (μB/f.u.): 0.00
D(E_F) (states/eV/cell): 27.79
Crystal system: trigonal
Distance to the lowest polymorph of the same formula (eV/atom): 0.065
Calculated formation energy (eV/atom): -0.128

The structure in CIF format:
```
data_MnV6Tc
_chemical_formula_sum 'Mn3 V18 Tc3'
_cell_length_a 6.7067
_cell_length_b 6.7067
_cell_length_c 8.2031
_cell_angle_alpha 90.00
_cell_angle_beta 90.00
_cell_angle_gamma 120.00
_space_group_name_H-M_alt 'R -3'
_space_group_IT_number 148
_space_group_name_Hall '-R 3'
loop_
_atom_site_label
_atom_site_fract_x
_atom_site_fract_y
_atom_site_fract_z
_atom_site_occupancy
Mn1 0.0000 0.0000 0.0000 1
V1 0.0033 0.2517 0.7515 1
Tc1 0.0000 0.0000 0.5000 1
```


What did the first record say?
The following is a DFT calculation (GGA-PBE) of a relaxed MnV2Tc crystal.

Output
Total magnetization (μB/f.u.): 0.00
D(E_F) (states/eV/cell): 2.01
Crystal system: tetragonal
Calculated formation energy (eV/atom): -0.297

The structure in CIF format:
```
data_MnV2Tc
_chemical_formula_sum 'Mn1 V2 Tc1'
_cell_length_a 2.958
_cell_length_b 2.958
_cell_length_c 5.908
_cell_angle_alpha 90.00
_cell_angle_beta 90.00
_cell_angle_gamma 90.00
_space_group_name_H-M_alt 'P 4/m m m'
_space_group_IT_number 123
_space_group_name_Hall '-P 4 2'
loop_
_atom_site_label
_atom_site_fract_x
_atom_site_fract_y
_atom_site_fract_z
_atom_site_occupancy
Mn1 0.000 0.000 0.000 1
V1 0.500 0.500 0.241 1
Tc1 0.000 0.000 0.500 1
```


Which value of D(E_F) does entry 1 give?
2.01 states/eV/cell


What is the D(E_F) in the first record?
2.01 states/eV/cell


Among the records above, which one has the highest D(E_F)?
MnV6Tc